Model i:
# RbHfS2N | Alexandria via LeMat-Bulk | PBE-GGA | optimized geometry
data_RbHfS2N
_cell_length_a 5.191
_cell_length_b 5.191
_cell_length_c 4.090
_cell_angle_alpha 90.00
_cell_angle_beta 90.00
_cell_angle_gamma 90.00
_space_group_name_H-M_alt 'P 1'
_space_group_IT_number 1
_space_group_name_Hall 'P 1'
loop_
_atom_site_label
_atom_site_type_symbol
_atom_site_fract_x
_atom_site_fract_y
_atom_site_fract_z
_atom_site_occupancy
Rb1 Rb 0.000 0.000 0.000 1
Hf1 Hf 0.500 0.500 0.500 1
S1 S 0.000 0.500 0.000 1
S2 S 0.500 0.000 0.000 1
N1 N 0.000 0.000 0.500 1
# * space group: P4/mmm (123)
# * density of states at the Fermi level: 3.94 states/eV per cell


Model ii:
# RbHfS2N | Alexandria via LeMat-Bulk | PBE-GGA | optimized geometry
data_RbHfS2N
_cell_length_a 5.099
_cell_length_b 5.099
_cell_length_c 4.331
_cell_angle_alpha 90.00
_cell_angle_beta 90.00
_cell_angle_gamma 90.00
_space_group_name_H-M_alt 'P 1'
_space_group_IT_number 1
_space_group_name_Hall 'P 1'
loop_
_atom_site_label
_atom_site_type_symbol
_atom_site_fract_x
_atom_site_fract_y
_atom_site_fract_z
_atom_site_occupancy
Rb1 Rb 0.000 0.000 0.000 1
Hf1 Hf 0.500 0.500 0.500 1
S1 S 0.000 0.500 0.500 1
S2 S 0.500 0.000 0.500 1
N1 N 0.500 0.500 0.000 1
# * space group: P4/mmm (123)
# * density of states at the Fermi level: 2.22 states/eV per cell


Verdict on stability: model ii comes out on top.


Model i:
# RbHfSeN2 | Alexandria via LeMat-Bulk | PBE-GGA | optimized geometry
data_RbHfSeN2
_cell_length_a 4.445
_cell_length_b 4.445
_cell_length_c 5.295
_cell_angle_alpha 90.00
_cell_angle_beta 90.00
_cell_angle_gamma 90.00
_space_group_name_H-M_alt 'P 1'
_space_group_IT_number 1
_space_group_name_Hall 'P 1'
loop_
_atom_site_label
_atom_site_type_symbol
_atom_site_fract_x
_atom_site_fract_y
_atom_site_fract_z
_atom_site_occupancy
Rb1 Rb 0.000 0.000 0.000 1
Hf1 Hf 0.500 0.500 0.500 1
Se1 Se 0.500 0.500 0.000 1
N1 N 0.000 0.500 0.500 1
N2 N 0.500 0.000 0.500 1
# * space group: P4/mmm (123)
# * density of states at the Fermi level: 1.47 states/eV per cell


Model ii:
# RbHfSeN2 | Alexandria via LeMat-Bulk | PBE-GGA | optimized geometry
data_RbHfSeN2
_cell_length_a 4.167
_cell_length_b 4.167
_cell_length_c 5.669
_cell_angle_alpha 90.00
_cell_angle_beta 90.00
_cell_angle_gamma 90.00
_space_group_name_H-M_alt 'P 1'
_space_group_IT_number 1
_space_group_name_Hall 'P 1'
loop_
_atom_site_label
_atom_site_type_symbol
_atom_site_fract_x
_atom_site_fract_y
_atom_site_fract_z
_atom_site_occupancy
Rb1 Rb 0.000 0.000 0.000 1
Hf1 Hf 0.500 0.500 0.500 1
Se1 Se 0.000 0.000 0.500 1
N1 N 0.000 0.500 0.000 1
N2 N 0.500 0.000 0.000 1
# * space group: P4/mmm (123)
# * density of states at the Fermi level: 4.51 states/eV per cell


Verdict on stability: model i comes out on top.


Model i:
# RbHfTe2N | Alexandria via LeMat-Bulk | PBE-GGA | optimized geometry
data_RbHfTe2N
_cell_length_a 5.971
_cell_length_b 5.971
_cell_length_c 4.102
_cell_angle_alpha 90.00
_cell_angle_beta 90.00
_cell_angle_gamma 90.00
_space_group_name_H-M_alt 'P 1'
_space_group_IT_number 1
_space_group_name_Hall 'P 1'
loop_
_atom_site_label
_atom_site_type_symbol
_atom_site_fract_x
_atom_site_fract_y
_atom_site_fract_z
_atom_site_occupancy
Rb1 Rb 0.000 0.000 0.000 1
Hf1 Hf 0.500 0.500 0.500 1
Te1 Te 0.000 0.500 0.000 1
Te2 Te 0.500 0.000 0.000 1
N1 N 0.000 0.000 0.500 1
# * space group: P4/mmm (123)
# * density of states at the Fermi level: 4.90 states/eV per cell


Model ii:
# RbHfTe2N | Alexandria via LeMat-Bulk | PBE-GGA | optimized geometry
data_RbHfTe2N
_cell_length_a 6.055
_cell_length_b 6.055
_cell_length_c 4.006
_cell_angle_alpha 90.00
_cell_angle_beta 90.00
_cell_angle_gamma 90.00
_space_group_name_H-M_alt 'P 1'
_space_group_IT_number 1
_space_group_name_Hall 'P 1'
loop_
_atom_site_label
_atom_site_type_symbol
_atom_site_fract_x
_atom_site_fract_y
_atom_site_fract_z
_atom_site_occupancy
Rb1 Rb 0.000 0.000 0.000 1
Hf1 Hf 0.500 0.500 0.500 1
Te1 Te 0.000 0.500 0.500 1
Te2 Te 0.500 0.000 0.500 1
N1 N 0.500 0.500 0.000 1
# * space group: P4/mmm (123)
# * density of states at the Fermi level: 3.47 states/eV per cell


Verdict on stability: model ii comes out on top.


Model i:
# Hf3ReN | Alexandria via LeMat-Bulk | PBE-GGA | optimized geometry
data_Hf3ReN
_cell_length_a 4.998
_cell_length_b 4.998
_cell_length_c 4.998
_cell_angle_alpha 90.00
_cell_angle_beta 90.00
_cell_angle_gamma 90.00
_space_group_name_H-M_alt 'P 1'
_space_group_IT_number 1
_space_group_name_Hall 'P 1'
loop_
_atom_site_label
_atom_site_type_symbol
_atom_site_fract_x
_atom_site_fract_y
_atom_site_fract_z
_atom_site_occupancy
Hf1 Hf 0.000 0.000 0.500 1
Hf2 Hf 0.000 0.500 0.000 1
Hf3 Hf 0.500 0.000 0.000 1
Re1 Re 0.000 0.000 0.000 1
N1 N 0.500 0.500 0.500 1
# * space group: Pm-3m (221)
# * density of states at the Fermi level: 5.29 states/eV per cell


Model ii:
# Hf3ReN | Alexandria via LeMat-Bulk | PBE-GGA | optimized geometry
data_Hf3ReN
_cell_length_a 4.381
_cell_length_b 4.381
_cell_length_c 4.381
_cell_angle_alpha 90.00
_cell_angle_beta 90.00
_cell_angle_gamma 90.00
_space_group_name_H-M_alt 'P 1'
_space_group_IT_number 1
_space_group_name_Hall 'P 1'
loop_
_atom_site_label
_atom_site_type_symbol
_atom_site_fract_x
_atom_site_fract_y
_atom_site_fract_z
_atom_site_occupancy
Hf1 Hf 0.000 0.000 0.500 1
Hf2 Hf 0.000 0.500 0.000 1
Hf3 Hf 0.500 0.000 0.000 1
Re1 Re 0.500 0.500 0.500 1
N1 N 0.000 0.000 0.000 1
# * space group: Pm-3m (221)
# * density of states at the Fermi level: 4.82 states/eV per cell


Verdict on stability: model ii comes out on top.


Model i:
# HfRe3N | Alexandria via LeMat-Bulk | PBE-GGA | optimized geometry
data_HfRe3N
_cell_length_a 4.772
_cell_length_b 4.772
_cell_length_c 4.772
_cell_angle_alpha 90.00
_cell_angle_beta 90.00
_cell_angle_gamma 90.00
_space_group_name_H-M_alt 'P 1'
_space_group_IT_number 1
_space_group_name_Hall 'P 1'
loop_
_atom_site_label
_atom_site_type_symbol
_atom_site_fract_x
_atom_site_fract_y
_atom_site_fract_z
_atom_site_occupancy
Hf1 Hf 0.000 0.000 0.000 1
Re1 Re 0.000 0.000 0.500 1
Re2 Re 0.000 0.500 0.000 1
Re3 Re 0.500 0.000 0.000 1
N1 N 0.500 0.500 0.500 1
# * space group: Pm-3m (221)
# * density of states at the Fermi level: 8.46 states/eV per cell


Model ii:
# HfRe3N | Alexandria via LeMat-Bulk | PBE-GGA | optimized geometry
data_HfRe3N
_cell_length_a 4.145
_cell_length_b 4.145
_cell_length_c 4.145
_cell_angle_alpha 90.00
_cell_angle_beta 90.00
_cell_angle_gamma 90.00
_space_group_name_H-M_alt 'P 1'
_space_group_IT_number 1
_space_group_name_Hall 'P 1'
loop_
_atom_site_label
_atom_site_type_symbol
_atom_site_fract_x
_atom_site_fract_y
_atom_site_fract_z
_atom_site_occupancy
Hf1 Hf 0.000 0.000 0.000 1
Re1 Re 0.000 0.500 0.500 1
Re2 Re 0.500 0.000 0.500 1
Re3 Re 0.500 0.500 0.000 1
N1 N 0.500 0.500 0.500 1
# * space group: Pm-3m (221)
# * density of states at the Fermi level: 3.49 states/eV per cell


Verdict on stability: model ii comes out on top.


Model i:
# HfReSe2N | Alexandria via LeMat-Bulk | PBE-GGA | optimized geometry
data_HfReSe2N
_cell_length_a 5.256
_cell_length_b 5.256
_cell_length_c 3.950
_cell_angle_alpha 90.00
_cell_angle_beta 90.00
_cell_angle_gamma 90.00
_space_group_name_H-M_alt 'P 1'
_space_group_IT_number 1
_space_group_name_Hall 'P 1'
loop_
_atom_site_label
_atom_site_type_symbol
_atom_site_fract_x
_atom_site_fract_y
_atom_site_fract_z
_atom_site_occupancy
Hf1 Hf 0.000 0.000 0.000 1
Re1 Re 0.500 0.500 0.500 1
Se1 Se 0.000 0.500 0.000 1
Se2 Se 0.500 0.000 0.000 1
N1 N 0.000 0.000 0.500 1
# * space group: P4/mmm (123)
# * density of states at the Fermi level: 3.40 states/eV per cell


Model ii:
# HfReSe2N | Alexandria via LeMat-Bulk | PBE-GGA | optimized geometry
data_HfReSe2N
_cell_length_a 5.073
_cell_length_b 5.073
_cell_length_c 3.700
_cell_angle_alpha 90.00
_cell_angle_beta 90.00
_cell_angle_gamma 90.00
_space_group_name_H-M_alt 'P 1'
_space_group_IT_number 1
_space_group_name_Hall 'P 1'
loop_
_atom_site_label
_atom_site_type_symbol
_atom_site_fract_x
_atom_site_fract_y
_atom_site_fract_z
_atom_site_occupancy
Hf1 Hf 0.000 0.000 0.000 1
Re1 Re 0.500 0.500 0.500 1
Se1 Se 0.000 0.500 0.500 1
Se2 Se 0.500 0.000 0.500 1
N1 N 0.500 0.500 0.000 1
# * space group: P4/mmm (123)
# * density of states at the Fermi level: 4.66 states/eV per cell


Verdict on stability: model ii comes out on top.